# KLa2Al

A geometry-optimized KLa2Al structure (PBEsol, the Alexandria database).

## Properties
- V: 268 Å³ per cell
- Formation energy from the elements: 0.204 eV/atom
- Space group: No. 71

a = 3.5619 Å, b = 6.0650 Å, c = 12.4088 Å
α = 90.00°, β = 90.00°, γ = 90.00°
Closest atoms and distances in Å follow each position.
Element x y z (fractional)
K  0.0000  0.0000  0.0000  4 Al 3.52, 2 K 3.56
K  0.5000  0.5000  0.5000  4 Al 3.52, 2 K 3.56
La  0.0000  0.5000  0.2109  2 Al 3.17
La  0.0000  0.5000  0.7891  2 Al 3.17
La  0.5000  0.0000  0.2891  2 Al 3.17
La  0.5000  0.0000  0.7109  2 Al 3.17
Al  0.0000  0.0000  0.5000  4 La 3.17, 4 K 3.52
Al  0.5000  0.5000  0.0000  4 La 3.17, 4 K 3.52

# Li3Rh

A geometry-optimized Li3Rh structure (PBEsol, the Alexandria database).

## Properties
- V: 106 Å³ per cell
- Formation energy from the elements: 0.021 eV/atom
- Space group: No. 194

a = 5.2596 Å, b = 5.2596 Å, c = 4.4069 Å
α = 90.00°, β = 90.00°, γ = 120.00°
Closest atoms and distances in Å follow each position.
Element x y z (fractional)
Li  0.1748  0.3497  0.2500  8 Li 2.50-2.76, 4 Rh 2.63
Li  0.1748  0.8252  0.2500  8 Li 2.50-2.76, 4 Rh 2.63
Li  0.3497  0.1748  0.7500  8 Li 2.50-2.76, 4 Rh 2.63
Li  0.6503  0.8252  0.2500  8 Li 2.50-2.76, 4 Rh 2.63
Li  0.8252  0.1748  0.7500  8 Li 2.50-2.76, 4 Rh 2.63
Li  0.8252  0.6503  0.7500  8 Li 2.50-2.76, 4 Rh 2.63
Rh  0.3333  0.6667  0.7500  12 Li 2.63
Rh  0.6667  0.3333  0.2500  12 Li 2.63

# Sr2TaTl

A geometry-optimized Sr2TaTl structure (PBEsol, the Alexandria database).

## Properties
- V: 444 Å³ per cell
- Formation energy from the elements: 0.735 eV/atom
- Energy relative to the lowest polymorph listed for this composition: 216 meV per atom
- Space group: No. 216

a = 7.6268 Å, b = 7.6268 Å, c = 7.6268 Å
α = 90.00°, β = 90.00°, γ = 90.00°
Closest atoms and distances in Å follow each position.
Element x y z (fractional)
Sr  0.0000  0.0000  0.0000  4 Ta 3.30, 4 Sr 3.30
Sr  0.0000  0.5000  0.5000  4 Ta 3.30, 4 Sr 3.30
Sr  0.2500  0.2500  0.2500  4 Tl 3.30, 4 Sr 3.30
Sr  0.2500  0.7500  0.7500  4 Tl 3.30, 4 Sr 3.30
Sr  0.5000  0.0000  0.5000  4 Ta 3.30, 4 Sr 3.30
Sr  0.5000  0.5000  0.0000  4 Ta 3.30, 4 Sr 3.30
Sr  0.7500  0.2500  0.7500  4 Tl 3.30, 4 Sr 3.30
Sr  0.7500  0.7500  0.2500  4 Tl 3.30, 4 Sr 3.30
Ta  0.2500  0.2500  0.7500  4 Tl 3.30, 4 Sr 3.30
Ta  0.2500  0.7500  0.2500  4 Tl 3.30, 4 Sr 3.30
Ta  0.7500  0.2500  0.2500  4 Tl 3.30, 4 Sr 3.30
Ta  0.7500  0.7500  0.7500  4 Sr 3.30, 4 Tl 3.30
Tl  0.0000  0.0000  0.5000  4 Sr 3.30, 4 Ta 3.30
Tl  0.0000  0.5000  0.0000  4 Sr 3.30, 4 Ta 3.30
Tl  0.5000  0.0000  0.0000  4 Sr 3.30, 4 Ta 3.30
Tl  0.5000  0.5000  0.5000  4 Ta 3.30, 4 Sr 3.30